First-principles (PBE) data for an optimized crystal structure of Al2RhPb, as listed in the Alexandria database.

Calculated values
uncorrected energy = -4.8285 eV per atom
energy of formation = -192 meV per atom

Lattice parameters (Å, degrees): 9.376 9.376 9.376 19.24 19.24 19.24
Atoms (fractional coordinates):
Pb1 0.250 0.250 0.250
Al1 0.481 0.481 0.481
Al2 0.019 0.019 0.019
Rh1 0.750 0.750 0.750

First-principles (PBE) data for an optimized crystal structure of Os3Cl, as listed in the Alexandria database.

Calculated values
uncorrected energy = -7.5973 eV per atom
formation energy (no corrections) = 5.1 eV per formula unit
energy above the lowest structure with this stoichiometry = 0.6713 eV per atom

Lattice parameters (Å, degrees): 5.780 5.780 4.409 90.00 90.00 121.36
Atoms (fractional coordinates):
Os1 0.888 0.662 0.750
Os2 0.817 0.183 0.750
Os3 0.183 0.817 0.250
Os4 0.338 0.112 0.750
Os5 0.662 0.888 0.250
Os6 0.112 0.338 0.250
Cl1 0.418 0.582 0.750
Cl2 0.582 0.418 0.250

First-principles (PBE) data for an optimized crystal structure of Zr3ScN3, as listed in the Alexandria database.

Calculated values
uncorrected energy = -9.1850 eV per atom
formation energy (no corrections) = -7.3 eV per formula unit

Lattice parameters (Å, degrees): 6.442 5.800 5.800 104.54 98.55 98.55
Atoms (fractional coordinates):
Zr1 0.328 0.344 0.344
Zr2 0.000 0.791 0.209
Zr3 0.000 0.209 0.791
Zr4 0.500 0.824 0.176
Zr5 0.672 0.656 0.656
Zr6 0.500 0.176 0.824
N1 0.754 0.979 0.979
N2 0.644 0.225 0.526
N3 0.356 0.775 0.474
N4 0.356 0.474 0.775
N5 0.246 0.021 0.021
N6 0.644 0.526 0.225
Sc1 0.164 0.716 0.716
Sc2 0.836 0.284 0.284

First-principles (PBE) data for an optimized crystal structure of AlP2W, as listed in the Alexandria database.

Calculated values
uncorrected energy = -6.7377 eV per atom
energy of formation = 141 meV per atom

Lattice parameters (Å, degrees): 5.609 5.609 6.574 64.75 64.75 90.00
Atoms (fractional coordinates):
Al1 0.500 0.500 0.000
Al2 0.250 0.750 0.500
P1 0.375 0.370 0.750
P2 0.630 0.125 0.250
P3 0.120 0.625 0.250
P4 0.875 0.880 0.750
W1 0.750 0.250 0.500
W2 0.000 0.000 0.000

First-principles (PBE) data for an optimized crystal structure of Y4HgBi, as listed in the Alexandria database.

Calculated values
uncorrected energy = -5.4745 eV per atom
energy of formation = -468 meV per atom

Lattice parameters (Å, degrees): 4.206 8.510 19.727 90.00 90.00 90.00
Atoms (fractional coordinates):
Y1 0.250 0.139 0.344
Y2 0.750 0.963 0.215
Y3 0.750 0.994 0.931
Y4 0.250 0.037 0.785
Y5 0.250 0.639 0.156
Y6 0.750 0.361 0.844
Y7 0.250 0.506 0.431
Y8 0.750 0.494 0.569
Y9 0.750 0.861 0.656
Y10 0.750 0.861 0.440
Y11 0.250 0.006 0.069
Y12 0.250 0.639 0.940
Y13 0.750 0.463 0.285
Y14 0.250 0.537 0.715
Y15 0.250 0.139 0.560
Y16 0.750 0.361 0.060
Bi1 0.250 0.265 0.187
Bi2 0.750 0.235 0.687
Bi3 0.750 0.735 0.813
Bi4 0.250 0.765 0.313
Hg1 0.750 0.240 0.448
Hg2 0.250 0.760 0.552
Hg3 0.250 0.260 0.948
Hg4 0.750 0.740 0.052

First-principles (PBE) data for an optimized crystal structure of CrGa4N2, as listed in the Alexandria database.

Calculated values
uncorrected energy = -4.5116 eV per atom
formation energy (no corrections) = 6.8 eV per formula unit

Lattice parameters (Å, degrees): 4.766 4.766 6.552 68.67 68.67 90.00
Atoms (fractional coordinates):
Cr1 0.000 0.000 0.000
N1 0.382 0.382 0.236
N2 0.618 0.618 0.764
Ga1 0.000 0.500 0.000
Ga2 0.219 0.219 0.562
Ga3 0.500 0.000 0.000
Ga4 0.781 0.781 0.438